Density functional theory data (PBE) for BaMo2As after structural relaxation.

Calculated values
ΔH_f (0 K)   23.06 kcal/mol of atoms

Unit cell a=6.1911 b=9.5614 c=3.1136 alpha=90.00 beta=117.87 gamma=90.00
With the nearest neighbours (Å) after each atom.
Fractional coordinates of all 8 atoms:
1 Ba 0.0000 0.0000 0.0000  4 Mo 2.85, 2 As 3.10, 2 Ba 3.11
2 Ba 0.5000 0.5000 0.0000  4 Mo 2.85, 2 As 3.10, 2 Ba 3.11
3 Mo 0.2500 0.2500 0.0000  2 Ba 2.85, 2 As 2.85, 4 Mo 3.10-3.11
4 Mo 0.2500 0.7500 0.0000  2 Ba 2.85, 2 As 2.85, 4 Mo 3.10-3.11
5 Mo 0.7500 0.2500 0.0000  2 Ba 2.85, 2 As 2.85, 4 Mo 3.10-3.11
6 Mo 0.7500 0.7500 0.0000  2 Ba 2.85, 2 As 2.85, 4 Mo 3.10-3.11
7 As 0.0000 0.5000 0.0000  4 Mo 2.85, 2 Ba 3.10, 2 As 3.11
8 As 0.5000 0.0000 0.0000  4 Mo 2.85, 2 Ba 3.10, 2 As 3.11